Record 1
{
  "formula": "YSi",
  "functional": "PBE-GGA",
  "state": "relaxed",
  "cell": [[-2.981, -0.822, 1.390], [1.800, -1.776, 2.258], [0.418, 6.311, 4.629]],
  "species": ["Si", "Si", "Y", "Y"],
  "frac_coords": [[0.500, 0.500, 0.811], [0.000, 0.000, 0.939], [0.500, 0.500, 0.189], [0.000, 0.000, 0.561]],
  "dft_energy_ev_per_cell": -24.8,
  "crystal_system": "orthorhombic"
}



Record 2
{
  "formula": "Ca5Tl",
  "functional": "PBE-GGA",
  "state": "relaxed",
  "cell": [[3.887, 0.000, 0.000], [0.000, 3.887, 0.000], [0.000, 0.000, 15.048]],
  "species": ["Ca", "Ca", "Ca", "Ca", "Ca", "Tl"],
  "frac_coords": [[0.500, 0.500, 0.816], [0.000, 0.000, 0.373], [0.500, 0.500, 0.184], [0.000, 0.000, 0.000], [0.000, 0.000, 0.627], [0.500, 0.500, 0.500]],
  "crystal_system": "tetragonal",
  "e_above_lowest_polymorph_ev_per_atom": 0.000
}



Record 3
{
  "formula": "TaMn2Nb",
  "functional": "PBE-GGA",
  "state": "relaxed",
  "cell": [[-0.036, -1.543, 2.649], [2.482, -1.569, -0.880], [3.598, 4.270, 2.537]],
  "species": ["Mn", "Mn", "Nb", "Ta"],
  "frac_coords": [[0.000, 0.000, 0.751], [0.000, 0.000, 0.249], [0.500, 0.500, 0.500], [0.500, 0.500, 0.000]],
  "crystal_system": "tetragonal",
  "e_above_lowest_polymorph_ev_per_atom": 0.000
}



Record 4
{
  "formula": "CoWSe",
  "functional": "PBE-GGA",
  "state": "relaxed",
  "cell": [[-3.860, -0.292, -3.412], [-1.727, -2.235, -4.319], [-1.753, -2.317, 0.841]],
  "species": ["Se", "Co", "W"],
  "frac_coords": [[0.666, 0.666, 0.334], [0.001, 0.001, 0.999], [0.332, 0.332, 0.668]],
  "crystal_system": "tetragonal",
  "e_above_lowest_polymorph_ev_per_atom": 0.042
}



Record 5
{
  "formula": "Sm5Ho2Sn5",
  "functional": "PBE-GGA",
  "state": "relaxed",
  "cell": [[4.419, 0.000, 0.000], [-2.210, 7.410, -0.245], [0.000, -3.935, 12.111]],
  "species": ["Sm", "Sm", "Sm", "Sm", "Sm", "Sn", "Sn", "Sn", "Sn", "Sn", "Ho", "Ho"],
  "frac_coords": [[0.726, 0.452, 0.345], [0.500, 0.000, 0.500], [0.274, 0.548, 0.655], [0.660, 0.320, 0.039], [0.340, 0.680, 0.961], [0.115, 0.231, 0.426], [0.696, 0.392, 0.794], [0.885, 0.769, 0.574], [0.304, 0.608, 0.206], [0.000, 0.000, 0.000], [0.948, 0.897, 0.214], [0.052, 0.103, 0.786]],
  "dft_energy_ev_per_cell": -59.2,
  "crystal_system": "monoclinic"
}



Record 6
{
  "formula": "KCa6Cl12",
  "functional": "PBE-GGA",
  "state": "relaxed",
  "cell": [[8.197, 0.246, -2.630], [-3.671, 7.333, -2.630], [0.147, 0.246, 8.607]],
  "species": ["Cl", "Cl", "Cl", "Cl", "Cl", "Cl", "Cl", "Cl", "Cl", "Cl", "Cl", "Cl", "K", "Ca", "Ca", "Ca", "Ca", "Ca", "Ca"],
  "frac_coords": [[0.046, 0.334, 0.862], [0.512, 0.576, 0.832], [0.832, 0.512, 0.576], [0.138, 0.954, 0.666], [0.424, 0.168, 0.488], [0.954, 0.666, 0.138], [0.488, 0.424, 0.168], [0.168, 0.488, 0.424], [0.862, 0.046, 0.334], [0.576, 0.832, 0.512], [0.666, 0.138, 0.954], [0.334, 0.862, 0.046], [0.000, 0.000, 0.000], [0.611, 0.193, 0.274], [0.389, 0.807, 0.726], [0.274, 0.611, 0.193], [0.807, 0.726, 0.389], [0.193, 0.274, 0.611], [0.726, 0.389, 0.807]],
  "dft_energy_ev_per_cell": -77.1,
  "crystal_system": "trigonal"
}



Record 7
{
  "formula": "SrThAs2",
  "functional": "PBE-GGA",
  "state": "relaxed",
  "cell": [[4.369, 0.014, 0.015], [2.173, 3.790, 0.015], [2.156, 1.254, 7.218]],
  "species": ["As", "As", "Sr", "Th"],
  "frac_coords": [[0.742, 0.742, 0.774], [0.258, 0.258, 0.226], [0.500, 0.500, 0.500], [0.000, 0.000, 0.000]],
  "crystal_system": "trigonal",
  "e_above_lowest_polymorph_ev_per_atom": 0.000
}



Record 8
{
  "formula": "HfTlN3",
  "functional": "PBE-GGA",
  "state": "relaxed",
  "cell": [[-2.293, -3.264, 1.524], [3.336, -2.605, -0.559], [1.357, 0.890, 3.949]],
  "species": ["Hf", "Tl", "N", "N", "N"],
  "frac_coords": [[0.000, 0.000, 0.000], [0.500, 0.500, 0.500], [0.500, 0.000, 0.000], [0.000, 0.500, 0.000], [0.000, 0.000, 0.500]],
  "dft_energy_ev_per_cell": -34.6,
  "crystal_system": "cubic"
}



| no. | density (Mg/m³) |
| --- | --- |
| 1 | 4.323 |
| 2 | 2.957 |
| 3 | 11.055 |
| 4 | 12.437 |
| 5 | 7.090 |
| 6 | 2.186 |
| 7 | 6.543 |
| 8 | 9.064 |